1.
! FeBr3Cl PBE-GGA relaxed; values from VASP
&SYSTEM
  ibrav = 0, nat = 10, ntyp = 3
/
ATOMIC_SPECIES
Fe 55.84 Fe.upf
Br 79.90 Br.upf
Cl 35.45 Cl.upf
ATOMIC_POSITIONS angstrom
Fe 0.0000 0.0000 0.0000
Fe 3.1934 6.4087 3.8851
Br 1.4346 5.3114 5.5054
Br 2.1013 5.6248 1.9489
Br 2.2250 1.4179 3.7033
Br 4.6390 0.4297 5.5879
Br 5.3058 0.7872 1.9295
Br 5.4335 4.9910 0.1782
Cl 1.2346 1.0851 7.1549
Cl 4.4344 4.6549 3.9415
CELL_PARAMETERS angstrom
6.4046 0.0000 0.0000
-0.0004 7.0762 0.0000
-0.0073 -0.6683 7.2131
! space-group type	No. 1

---

2.
! Fe2BrCl PBE-GGA relaxed; values from VASP
&SYSTEM
  ibrav = 0, nat = 4, ntyp = 3
/
ATOMIC_SPECIES
Fe 55.84 Fe.upf
Br 79.90 Br.upf
Cl 35.45 Cl.upf
ATOMIC_POSITIONS angstrom
Fe 0.0000 0.0000 1.2066
Fe 0.0000 0.0000 5.1293
Br 1.6490 1.6490 3.1679
Cl 1.6490 1.6490 0.0000
CELL_PARAMETERS angstrom
3.2979 0.0000 0.0000
0.0000 3.2979 0.0000
0.0000 0.0000 6.3359
! space-group type	No. 123

---

3.
! FeBr2Cl PBE-GGA relaxed; values from VASP
&SYSTEM
  ibrav = 0, nat = 4, ntyp = 3
/
ATOMIC_SPECIES
Fe 55.84 Fe.upf
Br 79.90 Br.upf
Cl 35.45 Cl.upf
ATOMIC_POSITIONS angstrom
Fe 0.0000 0.0000 0.0000
Br 0.0142 2.6129 2.1587
Br 0.0142 -2.6129 2.1587
Cl 2.5134 0.0000 0.0000
CELL_PARAMETERS angstrom
2.5134 -5.2258 0.0000
2.5134 5.2258 0.0000
-2.4850 0.0000 4.3174
! space-group type	No. 12

---

E_tot list, top to bottom, in eV/atom: -3.404, -4.632, -3.152
Calculated volume list, top to bottom, in Å³ per atom: 32.7, 17.2, 28.4
Formation energy (no corrections) list, top to bottom, in kJ per mole of atoms: -33, 46, 25